# LaEr3Pu2Se6 PBE optimized geometry
# E_form (uncorrected)	-20.6	eV/f.u.
# N(E_F)	19.563	states/eV/f.u.
data_LaEr3Pu2Se6
_chemical_formula_sum 'La2 Er6 Pu4 Se12'
_cell_length_a 7.093
_cell_length_b 12.295
_cell_length_c 7.211
_cell_angle_alpha 90.00
_cell_angle_beta 109.20
_cell_angle_gamma 90.00
_space_group_name_H-M_alt 'C 1 2/m 1'
_space_group_IT_number 12
loop_
_space_group_symop_operation_xyz
'x,y,z'
'-x,-y,-z'
'-x,y,-z'
'x,-y,z'
'x+1/2,y+1/2,z'
'-x+1/2,-y+1/2,-z'
'-x+1/2,y+1/2,-z'
'x+1/2,-y+1/2,z'
loop_
_atom_site_label
_atom_site_fract_x
_atom_site_fract_y
_atom_site_fract_z
La1 0.000 0.000 0.000
Er1 0.000 0.164 0.500
Er2 0.000 0.500 0.500
Pu1 0.000 0.333 0.000
Se1 0.242 0.330 0.736
Se2 0.247 0.500 0.262

=====

# La4Er3PuSe8 PBE optimized geometry
# E_form (uncorrected)	-29.4	eV/f.u.
# N(E_F)	15.598	states/eV/f.u.
data_La4Er3PuSe8
_chemical_formula_sum 'La12 Er9 Pu3 Se24'
_cell_length_a 8.3342
_cell_length_b 8.3342
_cell_length_c 20.7404
_cell_angle_alpha 90.00
_cell_angle_beta 90.00
_cell_angle_gamma 120.00
_space_group_name_H-M_alt 'R -3 m'
_space_group_IT_number 166
_space_group_name_Hall '-R 3 2"'
loop_
_atom_site_label
_atom_site_fract_x
_atom_site_fract_y
_atom_site_fract_z
La1 0.0000 0.0000 0.0000
La2 0.0000 0.5000 0.0000
Er1 0.0000 0.5000 0.5000
Pu1 0.0000 0.0000 0.5000
Se1 0.0000 0.0000 0.2426
Se2 0.0042 0.5021 0.7565

=====

# LaSmErPu PBE optimized geometry
# total DFT energy (no corrections)	-110.9	eV per cell
# N(E_F)	13.346	states/eV/f.u.
data_LaSmErPu
_chemical_formula_sum 'La4 Sm4 Er4 Pu4'
_cell_length_a 8.026
_cell_length_b 8.026
_cell_length_c 8.026
_cell_angle_alpha 90.00
_cell_angle_beta 90.00
_cell_angle_gamma 90.00
_space_group_name_H-M_alt 'F -4 3 m'
_space_group_IT_number 216
_space_group_name_Hall 'F -4 2 3'
loop_
_atom_site_label
_atom_site_fract_x
_atom_site_fract_y
_atom_site_fract_z
La1 0.000 0.000 0.000
Sm1 0.000 0.000 0.500
Er1 0.250 0.250 0.750
Pu1 0.250 0.250 0.250

=====

# La3Tb6Er2Pu PBE optimized geometry
# total DFT energy (no corrections)	-130.9	eV per cell
# N(E_F)	23.040	states/eV/f.u.
data_La3Tb6Er2Pu
_chemical_formula_sum 'La6 Tb12 Er4 Pu2'
_cell_length_a 6.205
_cell_length_b 10.757
_cell_length_c 11.830
_cell_angle_alpha 90.00
_cell_angle_beta 100.12
_cell_angle_gamma 90.00
_space_group_name_H-M_alt 'C 1 2/m 1'
_space_group_IT_number 12
loop_
_space_group_symop_operation_xyz
'x,y,z'
'-x,-y,-z'
'-x,y,-z'
'x,-y,z'
'x+1/2,y+1/2,z'
'-x+1/2,-y+1/2,-z'
'-x+1/2,y+1/2,-z'
'x+1/2,-y+1/2,z'
loop_
_atom_site_label
_atom_site_fract_x
_atom_site_fract_y
_atom_site_fract_z
La1 0.000 0.000 0.000
La2 0.000 0.333 0.000
Tb1 0.245 0.335 0.742
Tb2 0.249 0.500 0.258
Er1 0.000 0.167 0.500
Pu1 0.000 0.500 0.500

=====

# La2Tb3Er6Pu PBE optimized geometry
# total DFT energy (no corrections)	-129.8	eV per cell
# N(E_F)	23.460	states/eV/f.u.
data_La2Tb3Er6Pu
_chemical_formula_sum 'La4 Tb6 Er12 Pu2'
_cell_length_a 6.148
_cell_length_b 10.658
_cell_length_c 11.700
_cell_angle_alpha 90.00
_cell_angle_beta 100.14
_cell_angle_gamma 90.00
_space_group_name_H-M_alt 'C 1 2/m 1'
_space_group_IT_number 12
loop_
_space_group_symop_operation_xyz
'x,y,z'
'-x,-y,-z'
'-x,y,-z'
'x,-y,z'
'x+1/2,y+1/2,z'
'-x+1/2,-y+1/2,-z'
'-x+1/2,y+1/2,-z'
'x+1/2,-y+1/2,z'
loop_
_atom_site_label
_atom_site_fract_x
_atom_site_fract_y
_atom_site_fract_z
La1 0.000 0.167 0.000
Tb1 0.000 0.000 0.500
Tb2 0.000 0.333 0.500
Er1 0.245 0.500 0.748
Er2 0.248 0.336 0.252
Pu1 0.000 0.500 0.000

=====

# La3ErPu2Te6 PBE optimized geometry
# E_form (uncorrected)	-16.5	eV/f.u.
# N(E_F)	24.551	states/eV/f.u.
data_La3ErPu2Te6
_chemical_formula_sum 'La6 Er2 Pu4 Te12'
_cell_length_a 7.745
_cell_length_b 13.411
_cell_length_c 7.830
_cell_angle_alpha 90.00
_cell_angle_beta 109.27
_cell_angle_gamma 90.00
_space_group_name_H-M_alt 'C 1 2/m 1'
_space_group_IT_number 12
loop_
_space_group_symop_operation_xyz
'x,y,z'
'-x,-y,-z'
'-x,y,-z'
'x,-y,z'
'x+1/2,y+1/2,z'
'-x+1/2,-y+1/2,-z'
'-x+1/2,y+1/2,-z'
'x+1/2,-y+1/2,z'
loop_
_atom_site_label
_atom_site_fract_x
_atom_site_fract_y
_atom_site_fract_z
La1 0.000 0.000 0.000
La2 0.000 0.330 0.000
Er1 0.000 0.500 0.500
Pu1 0.000 0.166 0.500
Te1 0.242 0.336 0.735
Te2 0.248 0.500 0.261

=====

# La4Er3PuTe8 PBE optimized geometry
# E_form (uncorrected)	-22.4	eV/f.u.
# N(E_F)	18.236	states/eV/f.u.
data_La4Er3PuTe8
_chemical_formula_sum 'La12 Er9 Pu3 Te24'
_cell_length_a 8.8795
_cell_length_b 8.8795
_cell_length_c 22.0859
_cell_angle_alpha 90.00
_cell_angle_beta 90.00
_cell_angle_gamma 120.00
_space_group_name_H-M_alt 'R -3 m'
_space_group_IT_number 166
_space_group_name_Hall '-R 3 2"'
loop_
_atom_site_label
_atom_site_fract_x
_atom_site_fract_y
_atom_site_fract_z
La1 0.0000 0.0000 0.0000
La2 0.0000 0.5000 0.0000
Er1 0.0000 0.5000 0.5000
Pu1 0.0000 0.0000 0.5000
Te1 0.0000 0.0000 0.2433
Te2 0.0038 0.5019 0.7557

=====

# La2Er3PuTe6 PBE optimized geometry
# E_form (uncorrected)	-16.1	eV/f.u.
# N(E_F)	13.876	states/eV/f.u.
data_La2Er3PuTe6
_chemical_formula_sum 'La4 Er6 Pu2 Te12'
_cell_length_a 19.369
_cell_length_b 4.387
_cell_length_c 8.928
_cell_angle_alpha 90.00
_cell_angle_beta 104.24
_cell_angle_gamma 90.00
_space_group_name_H-M_alt 'C 1 2/m 1'
_space_group_IT_number 12
loop_
_space_group_symop_operation_xyz
'x,y,z'
'-x,-y,-z'
'-x,y,-z'
'x,-y,z'
'x+1/2,y+1/2,z'
'-x+1/2,-y+1/2,-z'
'-x+1/2,y+1/2,-z'
'x+1/2,-y+1/2,z'
loop_
_atom_site_label
_atom_site_fract_x
_atom_site_fract_y
_atom_site_fract_z
La1 0.166 0.000 0.333
Er1 0.000 0.500 0.500
Er2 0.169 0.000 0.836
Pu1 0.000 0.500 0.000
Te1 0.005 0.000 0.747
Te2 0.162 0.500 0.595
Te3 0.168 0.500 0.071

=====

# LaErPuTh PBE optimized geometry
# total DFT energy (no corrections)	-121.8	eV per cell
# N(E_F)	14.035	states/eV/f.u.
data_LaErPuTh
_chemical_formula_sum 'La4 Er4 Pu4 Th4'
_cell_length_a 7.959
_cell_length_b 7.959
_cell_length_c 7.959
_cell_angle_alpha 90.00
_cell_angle_beta 90.00
_cell_angle_gamma 90.00
_space_group_name_H-M_alt 'F -4 3 m'
_space_group_IT_number 216
_space_group_name_Hall 'F -4 2 3'
loop_
_atom_site_label
_atom_site_fract_x
_atom_site_fract_y
_atom_site_fract_z
La1 0.000 0.000 0.000
Er1 0.250 0.250 0.750
Pu1 0.250 0.250 0.250
Th1 0.000 0.000 0.500

=====

# LaErTmPu PBE optimized geometry
# total DFT energy (no corrections)	-109.9	eV per cell
# N(E_F)	12.185	states/eV/f.u.
data_LaErTmPu
_chemical_formula_sum 'La4 Er4 Tm4 Pu4'
_cell_length_a 7.978
_cell_length_b 7.978
_cell_length_c 7.978
_cell_angle_alpha 90.00
_cell_angle_beta 90.00
_cell_angle_gamma 90.00
_space_group_name_H-M_alt 'F -4 3 m'
_space_group_IT_number 216
_space_group_name_Hall 'F -4 2 3'
loop_
_atom_site_label
_atom_site_fract_x
_atom_site_fract_y
_atom_site_fract_z
La1 0.000 0.000 0.000
Er1 0.250 0.250 0.250
Tm1 0.250 0.250 0.750
Pu1 0.000 0.000 0.500

=====

# Rb3LaEr2S6 PBE optimized geometry
# E_form (uncorrected)	-22.3	eV/f.u.
# N(E_F)	0.000	states/eV/f.u.
data_Rb3LaEr2S6
_chemical_formula_sum 'Rb6 La2 Er4 S12'
_cell_length_a 7.165
_cell_length_b 12.410
_cell_length_c 8.056
_cell_angle_alpha 90.00
_cell_angle_beta 107.27
_cell_angle_gamma 90.00
_space_group_name_H-M_alt 'C 1 2/m 1'
_space_group_IT_number 12
loop_
_space_group_symop_operation_xyz
'x,y,z'
'-x,-y,-z'
'-x,y,-z'
'x,-y,z'
'x+1/2,y+1/2,z'
'-x+1/2,-y+1/2,-z'
'-x+1/2,y+1/2,-z'
'x+1/2,-y+1/2,z'
loop_
_atom_site_label
_atom_site_fract_x
_atom_site_fract_y
_atom_site_fract_z
Rb1 0.000 0.000 0.000
Rb2 0.000 0.335 0.000
La1 0.000 0.500 0.500
Er1 0.000 0.167 0.500
S1 0.217 0.000 0.692
S2 0.238 0.326 0.693

=====

# RbLaEr4S8 PBE optimized geometry
# E_form (uncorrected)	-26.7	eV/f.u.
# N(E_F)	0.000	states/eV/f.u.
data_RbLaEr4S8
_chemical_formula_sum 'Rb3 La3 Er12 S24'
_cell_length_a 8.1849
_cell_length_b 8.1849
_cell_length_c 20.8782
_cell_angle_alpha 90.00
_cell_angle_beta 90.00
_cell_angle_gamma 120.00
_space_group_name_H-M_alt 'R 3 m'
_space_group_IT_number 160
_space_group_name_Hall 'R 3 -2"'
loop_
_atom_site_label
_atom_site_fract_x
_atom_site_fract_y
_atom_site_fract_z
Rb1 0.0000 0.0000 0.0000
La1 0.0000 0.0000 0.6359
Er1 0.0000 0.0000 0.2567
Er2 0.1723 0.3447 0.4631
S1 0.0000 0.0000 0.3877
S2 0.0000 0.0000 0.8603
S3 0.0427 0.5214 0.3929
S4 0.1725 0.3450 0.2093

=====

# Rb3La2ErS6 PBE optimized geometry
# E_form (uncorrected)	-22.5	eV/f.u.
# N(E_F)	0.000	states/eV/f.u.
data_Rb3La2ErS6
_chemical_formula_sum 'Rb6 La4 Er2 S12'
_cell_length_a 7.328
_cell_length_b 12.693
_cell_length_c 8.070
_cell_angle_alpha 90.00
_cell_angle_beta 107.65
_cell_angle_gamma 90.00
_space_group_name_H-M_alt 'C 1 2/m 1'
_space_group_IT_number 12
loop_
_space_group_symop_operation_xyz
'x,y,z'
'-x,-y,-z'
'-x,y,-z'
'x,-y,z'
'x+1/2,y+1/2,z'
'-x+1/2,-y+1/2,-z'
'-x+1/2,y+1/2,-z'
'x+1/2,-y+1/2,z'
loop_
_atom_site_label
_atom_site_fract_x
_atom_site_fract_y
_atom_site_fract_z
Rb1 0.000 0.000 0.000
Rb2 0.000 0.333 0.000
La1 0.000 0.167 0.500
Er1 0.000 0.500 0.500
S1 0.225 0.340 0.695
S2 0.246 0.000 0.695

=====

# Rb4LaEr3Se8 PBE optimized geometry
# E_form (uncorrected)	-27.9	eV/f.u.
# N(E_F)	0.000	states/eV/f.u.
data_Rb4LaEr3Se8
_chemical_formula_sum 'Rb12 La3 Er9 Se24'
_cell_length_a 8.5524
_cell_length_b 8.5524
_cell_length_c 23.9797
_cell_angle_alpha 90.00
_cell_angle_beta 90.00
_cell_angle_gamma 120.00
_space_group_name_H-M_alt 'R -3 m'
_space_group_IT_number 166
_space_group_name_Hall '-R 3 2"'
loop_
_atom_site_label
_atom_site_fract_x
_atom_site_fract_y
_atom_site_fract_z
Rb1 0.0000 0.0000 0.0000
Rb2 0.0000 0.5000 0.0000
La1 0.0000 0.0000 0.5000
Er1 0.0000 0.5000 0.5000
Se1 0.0000 0.0000 0.2310
Se2 0.0121 0.5061 0.7678

=====

# Rb3LaEr2Se6 PBE optimized geometry
# E_form (uncorrected)	-21.0	eV/f.u.
# N(E_F)	0.000	states/eV/f.u.
data_Rb3LaEr2Se6
_chemical_formula_sum 'Rb6 La2 Er4 Se12'
_cell_length_a 7.442
_cell_length_b 12.891
_cell_length_c 8.373
_cell_angle_alpha 90.00
_cell_angle_beta 107.27
_cell_angle_gamma 90.00
_space_group_name_H-M_alt 'C 1 2/m 1'
_space_group_IT_number 12
loop_
_space_group_symop_operation_xyz
'x,y,z'
'-x,-y,-z'
'-x,y,-z'
'x,-y,z'
'x+1/2,y+1/2,z'
'-x+1/2,-y+1/2,-z'
'-x+1/2,y+1/2,-z'
'x+1/2,-y+1/2,z'
loop_
_atom_site_label
_atom_site_fract_x
_atom_site_fract_y
_atom_site_fract_z
Rb1 0.000 0.000 0.000
Rb2 0.000 0.336 0.000
La1 0.000 0.500 0.500
Er1 0.000 0.167 0.500
Se1 0.219 0.000 0.696
Se2 0.239 0.327 0.696

=====

# Rb4La3ErSe8 PBE optimized geometry
# E_form (uncorrected)	-28.6	eV/f.u.
# N(E_F)	0.000	states/eV/f.u.
data_Rb4La3ErSe8
_chemical_formula_sum 'Rb12 La9 Er3 Se24'
_cell_length_a 8.8129
_cell_length_b 8.8129
_cell_length_c 24.0042
_cell_angle_alpha 90.00
_cell_angle_beta 90.00
_cell_angle_gamma 120.00
_space_group_name_H-M_alt 'R -3 m'
_space_group_IT_number 166
_space_group_name_Hall '-R 3 2"'
loop_
_atom_site_label
_atom_site_fract_x
_atom_site_fract_y
_atom_site_fract_z
Rb1 0.0000 0.0000 0.0000
Rb2 0.0000 0.5000 0.0000
La1 0.0000 0.5000 0.5000
Er1 0.0000 0.0000 0.5000
Se1 0.0000 0.0000 0.2344
Se2 0.0123 0.5062 0.2327

=====

# Rb3La2ErSe6 PBE optimized geometry
# E_form (uncorrected)	-21.4	eV/f.u.
# N(E_F)	0.000	states/eV/f.u.
data_Rb3La2ErSe6
_chemical_formula_sum 'Rb6 La4 Er2 Se12'
_cell_length_a 7.593
_cell_length_b 13.152
_cell_length_c 8.393
_cell_angle_alpha 90.00
_cell_angle_beta 107.59
_cell_angle_gamma 90.00
_space_group_name_H-M_alt 'C 1 2/m 1'
_space_group_IT_number 12
loop_
_space_group_symop_operation_xyz
'x,y,z'
'-x,-y,-z'
'-x,y,-z'
'x,-y,z'
'x+1/2,y+1/2,z'
'-x+1/2,-y+1/2,-z'
'-x+1/2,y+1/2,-z'
'x+1/2,-y+1/2,z'
loop_
_atom_site_label
_atom_site_fract_x
_atom_site_fract_y
_atom_site_fract_z
Rb1 0.000 0.000 0.000
Rb2 0.000 0.332 0.000
La1 0.000 0.166 0.500
Er1 0.000 0.500 0.500
Se1 0.226 0.340 0.699
Se2 0.247 0.000 0.699

=====

# Rb3La3ErSe8 PBE optimized geometry
# E_form (uncorrected)	-25.6	eV/f.u.
# N(E_F)	15.742	states/eV/f.u.
data_Rb3La3ErSe8
_chemical_formula_sum 'Rb6 La6 Er2 Se16'
_cell_length_a 15.223
_cell_length_b 8.783
_cell_length_c 9.562
_cell_angle_alpha 90.00
_cell_angle_beta 122.13
_cell_angle_gamma 90.00
_space_group_name_H-M_alt 'C 1 2/m 1'
_space_group_IT_number 12
loop_
_space_group_symop_operation_xyz
'x,y,z'
'-x,-y,-z'
'-x,y,-z'
'x,-y,z'
'x+1/2,y+1/2,z'
'-x+1/2,-y+1/2,-z'
'-x+1/2,y+1/2,-z'
'x+1/2,-y+1/2,z'
loop_
_atom_site_label
_atom_site_fract_x
_atom_site_fract_y
_atom_site_fract_z
Rb1 0.000 0.000 0.000
Rb2 0.250 0.250 0.000
La1 0.000 0.500 0.500
La2 0.250 0.250 0.500
Er1 0.000 0.000 0.500
Se1 0.016 0.239 0.308
Se2 0.223 0.000 0.692
Se3 0.234 0.500 0.703

=====

# Rb2LaErTe4 PBE optimized geometry
# E_form (uncorrected)	-11.4	eV/f.u.
# N(E_F)	0.000	states/eV/f.u.
data_Rb2LaErTe4
_chemical_formula_sum 'Rb2 La1 Er1 Te4'
_cell_length_a 8.011
_cell_length_b 4.620
_cell_length_c 8.952
_cell_angle_alpha 90.00
_cell_angle_beta 107.31
_cell_angle_gamma 90.00
_space_group_name_H-M_alt 'P 1 2/m 1'
_space_group_IT_number 10
loop_
_space_group_symop_operation_xyz
'x,y,z'
'-x,-y,-z'
'-x,y,-z'
'x,-y,z'
loop_
_atom_site_label
_atom_site_fract_x
_atom_site_fract_y
_atom_site_fract_z
Rb1 0.000 0.000 0.000
Rb2 0.500 0.500 0.000
La1 0.000 0.500 0.500
Er1 0.500 0.000 0.500
Te1 0.247 0.000 0.704
Te2 0.278 0.500 0.301

=====

# Rb3La2ErTe6 PBE optimized geometry
# E_form (uncorrected)	-17.4	eV/f.u.
# N(E_F)	0.000	states/eV/f.u.
data_Rb3La2ErTe6
_chemical_formula_sum 'Rb6 La4 Er2 Te12'
_cell_length_a 8.075
_cell_length_b 13.989
_cell_length_c 8.959
_cell_angle_alpha 90.00
_cell_angle_beta 107.52
_cell_angle_gamma 90.00
_space_group_name_H-M_alt 'C 1 2/m 1'
_space_group_IT_number 12
loop_
_space_group_symop_operation_xyz
'x,y,z'
'-x,-y,-z'
'-x,y,-z'
'x,-y,z'
'x+1/2,y+1/2,z'
'-x+1/2,-y+1/2,-z'
'-x+1/2,y+1/2,-z'
'x+1/2,-y+1/2,z'
loop_
_atom_site_label
_atom_site_fract_x
_atom_site_fract_y
_atom_site_fract_z
Rb1 0.000 0.000 0.000
Rb2 0.000 0.330 0.000
La1 0.000 0.166 0.500
Er1 0.000 0.500 0.500
Te1 0.228 0.340 0.703
Te2 0.248 0.000 0.704